The following is a PBE calculation of a relaxed Ba2MnGePt6 crystal, from Alexandria via LeMat-Bulk.

Lattice parameters (Å, degrees): 5.665 8.459 6.852 53.43 65.58 90.00
Atoms (fractional coordinates):
Mn  0.000  0.000  0.000
Pt  0.218  0.716  0.058
Pt  0.782  0.284  0.942
Pt  0.277  0.284  0.942
Pt  0.723  0.716  0.058
Pt  0.751  0.621  0.499
Pt  0.249  0.379  0.501
Ge  0.500  0.500  0.000
Ba  0.745  0.188  0.510
Ba  0.255  0.812  0.490

Values from the calculation:
- Density of states at the Fermi level: 3.8 states/eV/cell
- Calculated volume: 226 Å³ per cell
- Magnetization: 0.394 μB per atom
- Final energy: -59.4 eV/f.u.
- Space-group type: C2/m, No. 12